Record 1
Ti2SiW: optimized geometry, PBE.

Cell: 3.3673 4.2460 4.2460 Å, 90.00 90.00 90.00°
Fractional positions:
W (0.5000, 0.5000, 0.5000)
Ti (0.0000, 0.0000, 0.5000)
Ti (0.0000, 0.5000, 0.0000)
Si (0.5000, 0.0000, 0.0000)

- space-group type = P4/mmm (123)
- raw formation energy (meV/atom) = -414
- V (Å³ per cell) = 60.7

***

Record 2
TiSiW3: optimized geometry, PBE.

Cell: 4.5680 4.5680 4.5680 Å, 90.00 90.00 90.00°
Fractional positions:
W (0.0000, 0.0000, 0.5000)
W (0.5000, 0.0000, 0.0000)
W (0.0000, 0.5000, 0.0000)
Si (0.5000, 0.5000, 0.5000)
Ti (0.0000, 0.0000, 0.0000)

- space-group type = Pm-3m (221)
- polymorph energy (0 for the lowest one) (eV per atom) = 1.012
- raw formation energy (meV/atom) = 2078
- V (Å³ per cell) = 95.3

***

Record 3
TiSi2W: optimized geometry, PBE.

Cell: 4.3472 4.3472 4.3472 Å, 60.00 60.00 60.00°
Fractional positions:
Si (0.2500, 0.2500, 0.2500)
Si (0.7500, 0.7500, 0.7500)
W (0.5000, 0.5000, 0.5000)
Ti (0.0000, 0.0000, 0.0000)

- space-group type = Fm-3m (225)
- polymorph energy (0 for the lowest one) (eV per atom) = 0.000
- raw formation energy (meV/atom) = -136
- V (Å³ per cell) = 58.1